Record 1
This record from Alexandria via LeMat-Bulk describes a geometry-optimized In2PbBr structure. The functional is GGA-PBE.

The structure in CIF format:
```
data_In2PbBr
_cell_length_a 3.565
_cell_length_b 3.565
_cell_length_c 9.241
_cell_angle_alpha 90.00
_cell_angle_beta 90.00
_cell_angle_gamma 90.00
_symmetry_space_group_name_H-M 'P 4 m m'
_symmetry_Int_Tables_number 99
_symmetry_space_group_name_Hall 'P 4 -2'
loop_
_atom_site_label
_atom_site_type_symbol
_atom_site_fract_x
_atom_site_fract_y
_atom_site_fract_z
In1 In 0.000 0.000 0.000
In2 In 0.500 0.500 0.252
Pb1 Pb 0.000 0.000 0.499
Br1 Br 0.500 0.500 0.782
```

Computed properties:
V: 29.4 A^3/atom
E_form (uncorrected): -0.17 eV/atom
final energy: -11.54 eV per cell
spin magnetization: 0.0 μB/f.u.
offset from the most stable computed form: 0.21 eV/f.u.

Record 2
This record from Alexandria via LeMat-Bulk describes a geometry-optimized La2TbHg3 structure. The functional is GGA-PBE.

The structure in CIF format:
```
data_La2TbHg3
_cell_length_a 3.809
_cell_length_b 3.809
_cell_length_c 11.812
_cell_angle_alpha 90.00
_cell_angle_beta 90.00
_cell_angle_gamma 90.00
_symmetry_space_group_name_H-M 'P 4/m m m'
_symmetry_Int_Tables_number 123
_symmetry_space_group_name_Hall '-P 4 2'
loop_
_atom_site_label
_atom_site_type_symbol
_atom_site_fract_x
_atom_site_fract_y
_atom_site_fract_z
La1 La 0.000 0.000 0.173
Tb1 Tb 0.000 0.000 0.500
Hg1 Hg 0.500 0.500 0.000
Hg2 Hg 0.500 0.500 0.352
```

Computed properties:
V: 28.6 A^3/atom
final energy: -18.33 eV per cell
spin magnetization: 1.0 μB/f.u.

Record 3
This record from Alexandria via LeMat-Bulk describes a geometry-optimized YCuSi2Ni structure. The functional is GGA-PBE.

The structure in CIF format:
```
data_YCuSi2Ni
_cell_length_a 3.977
_cell_length_b 3.977
_cell_length_c 9.750
_cell_angle_alpha 90.00
_cell_angle_beta 90.00
_cell_angle_gamma 90.00
_symmetry_space_group_name_H-M 'I -4 m 2'
_symmetry_Int_Tables_number 119
_symmetry_space_group_name_Hall 'I -4 -2'
loop_
_atom_site_label
_atom_site_type_symbol
_atom_site_fract_x
_atom_site_fract_y
_atom_site_fract_z
Y1 Y 0.000 0.000 0.000
Cu1 Cu 0.000 0.500 0.750
Si1 Si 0.000 0.000 0.378
Ni1 Ni 0.000 0.500 0.250
```

Computed properties:
V: 15.4 A^3/atom
E_form (uncorrected): -0.72 eV/atom
final energy: -61.60 eV per cell
spin magnetization: 0.0 μB/f.u.

Record 4
This record from Alexandria via LeMat-Bulk describes a geometry-optimized Sm4Cd2Hg structure. The functional is GGA-PBE.

The structure in CIF format:
```
data_Sm4Cd2Hg
_cell_length_a 7.586
_cell_length_b 10.604
_cell_length_c 5.271
_cell_angle_alpha 90.00
_cell_angle_beta 90.00
_cell_angle_gamma 90.00
_symmetry_space_group_name_H-M 'C m m m'
_symmetry_Int_Tables_number 65
_symmetry_space_group_name_Hall '-C 2 2'
loop_
_atom_site_label
_atom_site_type_symbol
_atom_site_fract_x
_atom_site_fract_y
_atom_site_fract_z
Sm1 Sm 0.244 0.000 0.000
Sm2 Sm 0.250 0.250 0.500
Cd1 Cd 0.000 0.252 0.000
Hg1 Hg 0.000 0.500 0.500
```

Computed properties:
V: 30.3 A^3/atom
final energy: -44.84 eV per cell
spin magnetization: 1.0 μB/f.u.
offset from the most stable computed form: 0.00 eV/f.u.

Record 5
This record from Alexandria via LeMat-Bulk describes a geometry-optimized Tb2Dy5Sb4 structure. The functional is GGA-PBE.

The structure in CIF format:
```
data_Tb2Dy5Sb4
_cell_length_a 25.931
_cell_length_b 3.621
_cell_length_c 7.314
_cell_angle_alpha 90.00
_cell_angle_beta 91.28
_cell_angle_gamma 90.00
_symmetry_space_group_name_H-M 'C 1 2/m 1'
_symmetry_Int_Tables_number 12
_symmetry_space_group_name_Hall '-C 2y'
loop_
_atom_site_label
_atom_site_type_symbol
_atom_site_fract_x
_atom_site_fract_y
_atom_site_fract_z
Tb1 Tb 0.236 0.000 0.279
Dy1 Dy 0.000 0.500 0.500
Dy2 Dy 0.090 0.000 0.193
Dy3 Dy 0.140 0.000 0.660
Sb1 Sb 0.032 0.000 0.819
Sb2 Sb 0.172 0.500 0.998
```

Computed properties:
V: 31.2 A^3/atom
E_form (uncorrected): -0.44 eV/atom
final energy: -107.22 eV per cell
spin magnetization: 0.0 μB/f.u.

Record 6
This record from Alexandria via LeMat-Bulk describes a geometry-optimized SnHPd2 structure. The functional is GGA-PBE.

The structure in CIF format:
```
data_SnHPd2
_cell_length_a 3.1851
_cell_length_b 3.1851
_cell_length_c 19.2137
_cell_angle_alpha 90.00
_cell_angle_beta 90.00
_cell_angle_gamma 120.00
_symmetry_space_group_name_H-M 'R 3 m'
_symmetry_Int_Tables_number 160
_symmetry_space_group_name_Hall 'R 3 -2"'
loop_
_atom_site_label
_atom_site_type_symbol
_atom_site_fract_x
_atom_site_fract_y
_atom_site_fract_z
Sn1 Sn 0.0000 0.0000 0.0000
H1 H 0.0000 0.0000 0.1811
Pd1 Pd 0.0000 0.0000 0.5567
Pd2 Pd 0.0000 0.0000 0.7717
```

Computed properties:
V: 14.1 A^3/atom
final energy: -55.43 eV per cell
spin magnetization: 0.0 μB/f.u.
offset from the most stable computed form: 0.57 eV/f.u.

Record 7
This record from Alexandria via LeMat-Bulk describes a geometry-optimized Cs3Pm3MoS8 structure. The functional is GGA-PBE.

The structure in CIF format:
```
data_Cs3Pm3MoS8
_cell_length_a 8.1032
_cell_length_b 8.1032
_cell_length_c 24.6891
_cell_angle_alpha 90.00
_cell_angle_beta 90.00
_cell_angle_gamma 120.00
_symmetry_space_group_name_H-M 'R -3 m'
_symmetry_Int_Tables_number 166
_symmetry_space_group_name_Hall '-R 3 2"'
loop_
_atom_site_label
_atom_site_type_symbol
_atom_site_fract_x
_atom_site_fract_y
_atom_site_fract_z
Cs1 Cs 0.0000 0.5000 0.0000
Pm1 Pm 0.0000 0.5000 0.5000
Mo1 Mo 0.0000 0.0000 0.5000
S1 S 0.0000 0.0000 0.2291
S2 S 0.0330 0.5165 0.2241
```

Computed properties:
V: 31.2 A^3/atom
E_form (uncorrected): -1.49 eV/atom
final energy: -249.06 eV per cell
spin magnetization: 2.0 μB/f.u.

Record 8
This record from Alexandria via LeMat-Bulk describes a geometry-optimized Sr2NbBr structure. The functional is GGA-PBE.

The structure in CIF format:
```
data_Sr2NbBr
_cell_length_a 8.260
_cell_length_b 8.260
_cell_length_c 8.260
_cell_angle_alpha 90.00
_cell_angle_beta 90.00
_cell_angle_gamma 90.00
_symmetry_space_group_name_H-M 'F m -3 m'
_symmetry_Int_Tables_number 225
_symmetry_space_group_name_Hall '-F 4 2 3'
loop_
_atom_site_label
_atom_site_type_symbol
_atom_site_fract_x
_atom_site_fract_y
_atom_site_fract_z
Sr1 Sr 0.250 0.250 0.250
Nb1 Nb 0.000 0.000 0.000
Br1 Br 0.000 0.000 0.500
```

Computed properties:
V: 35.2 A^3/atom
E_form (uncorrected): 0.32 eV/atom
final energy: -55.27 eV per cell
spin magnetization: 5.5 μB/f.u.
offset from the most stable computed form: 0.10 eV/f.u.

Record 9
This record from Alexandria via LeMat-Bulk describes a geometry-optimized InTeOs4 structure. The functional is GGA-PBE.

The structure in CIF format:
```
data_InTeOs4
_cell_length_a 7.510
_cell_length_b 7.510
_cell_length_c 7.510
_cell_angle_alpha 90.00
_cell_angle_beta 90.00
_cell_angle_gamma 90.00
_symmetry_space_group_name_H-M 'F -4 3 m'
_symmetry_Int_Tables_number 216
_symmetry_space_group_name_Hall 'F -4 2 3'
loop_
_atom_site_label
_atom_site_type_symbol
_atom_site_fract_x
_atom_site_fract_y
_atom_site_fract_z
In1 In 0.000 0.000 0.000
Te1 Te 0.250 0.250 0.250
Os1 Os 0.125 0.125 0.625
```

Computed properties:
V: 17.6 A^3/atom
E_form (uncorrected): 0.91 eV/atom
final energy: -181.32 eV per cell
spin magnetization: 0.0 μB/f.u.

Record 10
This record from Alexandria via LeMat-Bulk describes a geometry-optimized GdPaSn2 structure. The functional is GGA-PBE.

The structure in CIF format:
```
data_GdPaSn2
_cell_length_a 7.558
_cell_length_b 7.558
_cell_length_c 7.558
_cell_angle_alpha 90.00
_cell_angle_beta 90.00
_cell_angle_gamma 90.00
_symmetry_space_group_name_H-M 'F m -3 m'
_symmetry_Int_Tables_number 225
_symmetry_space_group_name_Hall '-F 4 2 3'
loop_
_atom_site_label
_atom_site_type_symbol
_atom_site_fract_x
_atom_site_fract_y
_atom_site_fract_z
Gd1 Gd 0.000 0.000 0.000
Pa1 Pa 0.000 0.000 0.500
Sn1 Sn 0.250 0.250 0.250
```

Computed properties:
V: 27.0 A^3/atom
final energy: -131.35 eV per cell
spin magnetization: 9.3 μB/f.u.
offset from the most stable computed form: 0.43 eV/f.u.

Record 11
This record from Alexandria via LeMat-Bulk describes a geometry-optimized Rb3IO4 structure. The functional is GGA-PBE.

The structure in CIF format:
```
data_Rb3IO4
_cell_length_a 6.430
_cell_length_b 9.594
_cell_length_c 6.027
_cell_angle_alpha 90.00
_cell_angle_beta 90.00
_cell_angle_gamma 90.00
_symmetry_space_group_name_H-M 'I m m 2'
_symmetry_Int_Tables_number 44
_symmetry_space_group_name_Hall 'I 2 -2'
loop_
_atom_site_label
_atom_site_type_symbol
_atom_site_fract_x
_atom_site_fract_y
_atom_site_fract_z
Rb1 Rb 0.000 0.000 0.000
Rb2 Rb 0.000 0.244 0.509
I1 I 0.000 0.500 0.017
O1 O 0.000 0.295 0.029
O2 O 0.228 0.500 0.827
```

Computed properties:
V: 23.2 A^3/atom
E_form (uncorrected): -1.11 eV/atom
final energy: -66.32 eV per cell
spin magnetization: 0.0 μB/f.u.

Record 12
This record from Alexandria via LeMat-Bulk describes a geometry-optimized Tb9Pm11Ho4 structure. The functional is GGA-PBE.

The structure in CIF format:
```
data_Tb9Pm11Ho4
_cell_length_a 16.966
_cell_length_b 25.729
_cell_length_c 3.658
_cell_angle_alpha 90.00
_cell_angle_beta 90.00
_cell_angle_gamma 90.00
_symmetry_space_group_name_H-M 'C m m m'
_symmetry_Int_Tables_number 65
_symmetry_space_group_name_Hall '-C 2 2'
loop_
_atom_site_label
_atom_site_type_symbol
_atom_site_fract_x
_atom_site_fract_y
_atom_site_fract_z
Tb1 Tb 0.000 0.000 0.000
Tb2 Tb 0.102 0.232 0.000
Tb3 Tb 0.141 0.427 0.000
Pm1 Pm 0.000 0.131 0.500
Pm2 Pm 0.000 0.339 0.500
Pm3 Pm 0.000 0.500 0.500
Pm4 Pm 0.208 0.000 0.500
Pm5 Pm 0.224 0.319 0.500
Ho1 Ho 0.157 0.102 0.000
```

Computed properties:
V: 33.3 A^3/atom
final energy: -221.88 eV per cell
spin magnetization: 0.0 μB/f.u.

Record 13
This record from Alexandria via LeMat-Bulk describes a geometry-optimized Ca2SnRhO6 structure. The functional is GGA-PBE.

The structure in CIF format:
```
data_Ca2SnRhO6
_cell_length_a 5.505
_cell_length_b 5.693
_cell_length_c 9.558
_cell_angle_alpha 90.00
_cell_angle_beta 124.57
_cell_angle_gamma 90.00
_symmetry_space_group_name_H-M 'P 1 21/c 1'
_symmetry_Int_Tables_number 14
_symmetry_space_group_name_Hall '-P 2ybc'
loop_
_atom_site_label
_atom_site_type_symbol
_atom_site_fract_x
_atom_site_fract_y
_atom_site_fract_z
Ca1 Ca 0.233 0.058 0.249
Sn1 Sn 0.500 0.000 0.000
Rh1 Rh 0.000 0.000 0.500
O1 O 0.136 0.202 0.945
O2 O 0.244 0.697 0.945
O3 O 0.352 0.038 0.746
```

Computed properties:
V: 12.3 A^3/atom
E_form (uncorrected): -1.92 eV/atom
final energy: -128.54 eV per cell
spin magnetization: 0.9 μB/f.u.

Record 14
This record from Alexandria via LeMat-Bulk describes a geometry-optimized Pm2Si2Ni3 structure. The functional is GGA-PBE.

The structure in CIF format:
```
data_Pm2Si2Ni3
_cell_length_a 10.655
_cell_length_b 3.762
_cell_length_c 6.831
_cell_angle_alpha 90.00
_cell_angle_beta 118.48
_cell_angle_gamma 90.00
_symmetry_space_group_name_H-M 'C 1 2/m 1'
_symmetry_Int_Tables_number 12
_symmetry_space_group_name_Hall '-C 2y'
loop_
_atom_site_label
_atom_site_type_symbol
_atom_site_fract_x
_atom_site_fract_y
_atom_site_fract_z
Pm1 Pm 0.132 0.000 0.258
Si1 Si 0.141 0.000 0.719
Ni1 Ni 0.000 0.500 0.500
Ni2 Ni 0.150 0.500 0.923
```

Computed properties:
V: 17.2 A^3/atom
E_form (uncorrected): -0.65 eV/atom
final energy: -84.43 eV per cell
spin magnetization: 0.0 μB/f.u.

Record 15
This record from Alexandria via LeMat-Bulk describes a geometry-optimized NaCoCu2Cl6 structure. The functional is GGA-PBE.

The structure in CIF format:
```
data_NaCoCu2Cl6
_cell_length_a 6.3599
_cell_length_b 6.3599
_cell_length_c 18.4149
_cell_angle_alpha 90.00
_cell_angle_beta 90.00
_cell_angle_gamma 120.00
_symmetry_space_group_name_H-M 'R -3'
_symmetry_Int_Tables_number 148
_symmetry_space_group_name_Hall '-R 3'
loop_
_atom_site_label
_atom_site_type_symbol
_atom_site_fract_x
_atom_site_fract_y
_atom_site_fract_z
Na1 Na 0.0000 0.0000 0.0000
Co1 Co 0.0000 0.0000 0.5000
Cu1 Cu 0.0000 0.0000 0.2325
Cl1 Cl 0.0086 0.2978 0.4270
```

Computed properties:
V: 21.5 A^3/atom
E_form (uncorrected): -0.74 eV/atom
final energy: -105.37 eV per cell
spin magnetization: 0.0 μB/f.u.